No. 1
Material: Pm3Tl4SbSe8
Method: DFT, PBE-GGA
State: relaxed

Results
SG ... R-3m (166)
Density ... 6.8 g/cm3
V ... 30.68 Å³ per atom
VASP energy ... -73.69 eV for the cell shown
Formation energy from raw total energies ... -1.123 eV/atom

Cell and atoms, written as POSCAR:
```
Pm3Tl4SbSe8
1.0
4.283 2.473 7.723
-4.283 2.473 7.723
0.000 -4.946 7.723
Pm Tl Sb Se
3 4 1 8
Direct
0.000 0.500 0.500
0.500 0.000 0.500
0.500 0.500 0.000
0.000 0.000 0.500
0.000 0.500 0.000
0.500 0.000 0.000
0.500 0.500 0.500
0.000 0.000 0.000
0.234 0.234 0.740
0.234 0.740 0.234
0.260 0.766 0.766
0.263 0.263 0.263
0.737 0.737 0.737
0.740 0.234 0.234
0.766 0.260 0.766
0.766 0.766 0.260
```

No. 2
Material: PmTl2Sb2Se6
Method: DFT, PBE-GGA
State: relaxed

Results
SG ... C2/m (12)
Density ... 6.1 g/cm3
V ... 31.62 Å³ per atom
VASP energy ... -45.81 eV for the cell shown
Formation energy from raw total energies ... -0.652 eV/atom

Cell and atoms, written as POSCAR:
```
PmTl2Sb2Se6
1.0
3.607 -6.250 0.000
3.607 6.250 0.000
-2.287 0.000 7.715
Pm Tl Sb Se
1 2 2 6
Direct
0.000 0.000 0.000
0.160 0.840 0.500
0.840 0.160 0.500
0.333 0.667 0.000
0.667 0.333 0.000
0.063 0.409 0.208
0.276 0.276 0.789
0.409 0.063 0.208
0.591 0.937 0.792
0.724 0.724 0.211
0.937 0.591 0.792
```

No. 3
Material: Pm2Tl3SbSe6
Method: DFT, PBE-GGA
State: relaxed

Results
SG ... C2/m (12)
Density ... 6.8 g/cm3
V ... 30.53 Å³ per atom
VASP energy ... -54.09 eV for the cell shown
Formation energy from raw total energies ... -1.038 eV/atom

Cell and atoms, written as POSCAR:
```
Pm2Tl3SbSe6
1.0
3.704 -6.418 0.000
3.704 6.418 0.000
-2.470 0.000 7.706
Pm Tl Sb Se
2 3 1 6
Direct
0.166 0.834 0.000
0.834 0.166 0.000
0.000 0.000 0.500
0.330 0.670 0.500
0.670 0.330 0.500
0.500 0.500 0.000
0.103 0.431 0.792
0.242 0.242 0.211
0.431 0.103 0.792
0.569 0.897 0.208
0.758 0.758 0.789
0.897 0.569 0.208
```

No. 4
Material: PmTmSbSe
Method: DFT, PBE-GGA
State: relaxed

Results
SG ... P4mm (99)
Density ... 7.7 g/cm3
V ... 27.82 Å³ per atom
VASP energy ... -22.38 eV for the cell shown
Formation energy from raw total energies ... -1.388 eV/atom

Cell and atoms, written as POSCAR:
```
PmTmSbSe
1.0
4.305 0.000 0.000
0.000 4.305 0.000
0.000 0.000 6.003
Pm Tm Sb Se
1 1 1 1
Direct
0.000 0.000 0.000
0.500 0.500 0.499
0.500 0.500 0.999
0.000 0.000 0.500
```

No. 5
Material: Pm6Si2Sb
Method: DFT, PBE-GGA
State: relaxed

Results
SG ... Immm (71)
Density ... 6.9 g/cm3
V ... 28.19 Å³ per atom
VASP energy ... -98.09 eV for the cell shown
Formation energy from raw total energies ... -0.619 eV/atom

Cell and atoms, written as POSCAR:
```
Pm6Si2Sb
1.0
-4.835 4.939 5.313
4.835 -4.939 5.313
4.835 4.939 -5.313
Pm Si Sb
12 4 2
Direct
0.035 0.243 0.792
0.189 0.276 0.465
0.189 0.724 0.912
0.320 0.026 0.706
0.320 0.615 0.294
0.450 0.243 0.208
0.550 0.757 0.792
0.680 0.385 0.706
0.680 0.974 0.294
0.811 0.276 0.088
0.811 0.724 0.535
0.965 0.757 0.208
0.112 0.612 0.500
0.376 0.000 0.376
0.624 0.000 0.624
0.888 0.388 0.500
0.000 0.000 0.000
0.500 0.500 0.000
```

No. 6
Material: Pm2SiSb
Method: DFT, PBE-GGA
State: relaxed

Results
SG ... Cmcm (63)
Density ... 6.5 g/cm3
V ... 28.01 Å³ per atom
VASP energy ... -90.49 eV for the cell shown
Formation energy from raw total energies ... -0.894 eV/atom

Cell and atoms, written as POSCAR:
```
Pm2SiSb
1.0
4.538 0.000 0.000
0.000 23.735 0.000
0.000 0.000 4.160
Pm Si Sb
8 4 4
Direct
0.000 0.061 0.250
0.000 0.322 0.250
0.000 0.678 0.750
0.000 0.939 0.750
0.500 0.178 0.750
0.500 0.439 0.750
0.500 0.561 0.250
0.500 0.822 0.250
0.000 0.465 0.250
0.000 0.535 0.750
0.500 0.035 0.750
0.500 0.965 0.250
0.000 0.189 0.250
0.000 0.811 0.750
0.500 0.311 0.750
0.500 0.689 0.250
```

Q: Look up the V of the fifth one.
A: 28.19 Å³ per atom